A plane-wave DFT calculation with PBE-GGA was carried out for a relaxed La3Nd8Dy crystal.

Mass density = 6.32 g cm⁻³
E = -54.40 eV per cell

The structure in POSCAR format:
```
La3Nd8Dy
1.0
-3.343 5.793 5.876
3.343 -5.793 5.876
3.343 5.793 -5.876
La Nd Dy
3 8 1
direct
0.000 0.000 0.000
0.255 0.755 0.500
0.745 0.245 0.500
0.085 0.252 0.834
0.259 0.242 0.501
0.259 0.758 0.017
0.418 0.252 0.166
0.582 0.748 0.834
0.741 0.242 0.983
0.741 0.758 0.499
0.915 0.748 0.166
0.500 0.500 0.000
```